## Mn2SbPbO8 (GGA+U)

Data for an optimized crystal structure of Mn2SbPbO8. Values from VASP.

Results
* VASP energy: -74.3 eV for the cell shown
* spin magnetization: 0.42 μB/atom
* symmetry: P-3, No. 147

```
&SYSTEM
  ibrav = 0, nat = 12, ntyp = 4
/
ATOMIC_SPECIES
Mn 54.94 Mn.upf
Sb 121.76 Sb.upf
Pb 207.20 Pb.upf
O 16.00 O.upf
ATOMIC_POSITIONS angstrom
Mn 0.0759 0.0417 3.6060
Mn 4.3434 1.7638 3.9489
Sb 1.6818 2.6074 1.7865
Pb 0.0000 0.0000 0.0000
O 5.1303 2.9837 4.7848
O 1.2192 0.7606 2.4090
O -1.2349 1.1693 4.1226
O -0.7109 -1.1782 2.7701
O 5.6543 0.6363 3.4323
O 3.2002 1.0450 5.1459
O 3.5230 2.5982 2.5751
O 0.8963 -0.7927 4.9798
CELL_PARAMETERS angstrom
-3.4567 -0.5411 4.0437
4.5125 -2.8682 -0.0618
3.3635 5.2148 3.5730
```